No. 1
The following is a DFT calculation (PBE) of LiDyU2S5 after structural relaxation.

Lattice parameters (Å, degrees): 4.966 4.966 9.496 90.00 90.00 90.00
Site moments in Bohr magnetons follow the coordinates.
Fractional positions:
U1 0.500 0.500 0.285  2.87
U2 0.500 0.500 0.715  2.87
S1 0.500 0.000 0.500  -0.03
S2 0.000 0.500 0.500  -0.03
S3 0.000 0.000 0.773  -0.03
S4 0.000 0.000 0.227  -0.03
S5 0.500 0.500 0.000  -0.08
Li1 0.000 0.000 0.000  0.00
Dy1 0.000 0.000 0.500  0.03

Output
Crystal system: tetragonal
Spin magnetization in μB per cell: 5.98
DOS(E_F) in states/eV/f.u.: 16.31
SG: No. 123
Uncorrected formation energy in eV/atom: -1.003

No. 2
The following is a DFT calculation (PBE) of LiTiGa after structural relaxation.

Lattice parameters (Å, degrees): 2.973 4.110 8.352 90.00 110.78 90.00
Fractional positions:
Ti1 0.148 0.750 0.897
Ti2 0.852 0.250 0.103
Li1 0.707 0.250 0.456
Li2 0.293 0.750 0.544
Ga1 0.493 0.750 0.245
Ga2 0.507 0.250 0.755

Output
Crystal system: monoclinic
Spin magnetization in μB per cell: 0.00
Distance to the lowest polymorph of the same formula in eV per atom: 0.000
DOS(E_F) in states/eV/f.u.: 2.83
Formation energy in eV per atom: -0.29
SG: No. 11

No. 3
The following is a DFT calculation (PBE) of Li2AcC2O7 after structural relaxation.

Lattice parameters (Å, degrees): 5.034 5.034 9.217 74.15 74.15 60.00
Site moments in Bohr magnetons follow the coordinates.
Fractional positions:
O1 0.657 0.504 0.834  0.00
O2 0.006 0.657 0.834  0.00
O3 0.343 0.994 0.166  0.00
O4 0.994 0.496 0.166  0.00
O5 0.500 0.500 0.500  0.75
O6 0.496 0.343 0.166  0.00
O7 0.504 0.006 0.834  0.00
C1 0.724 0.724 0.829  0.00
C2 0.276 0.276 0.171  0.00
Li1 0.570 0.570 0.290  -0.01
Li2 0.430 0.430 0.710  -0.01
Ac1 0.000 0.000 0.000  0.00

Output
Crystal system: trigonal
Spin magnetization in μB per cell: 1.00
DOS(E_F) in states/eV/f.u.: 5.99
SG: No. 155
Uncorrected formation energy in eV/atom: -1.872

No. 4
The following is a DFT calculation (PBE) of NaSrIn2Sn2 after structural relaxation.

Lattice parameters (Å, degrees): 5.115 5.115 7.699 90.00 90.00 120.00
Fractional positions:
Sr1 0.000 0.000 0.000
In1 0.667 0.333 0.337
In2 0.333 0.667 0.663
Sn1 0.333 0.667 0.248
Sn2 0.667 0.333 0.752
Na1 0.000 0.000 0.500

Output
Crystal system: trigonal
Spin magnetization in μB per cell: 0.00
DOS(E_F) in states/eV/f.u.: 3.11
Formation energy in eV per atom: -0.31
SG: No. 164

No. 5
The following is a DFT calculation (PBE) of Dy2MgSi3Ni4 after structural relaxation.

Lattice parameters (Å, degrees): 4.011 4.011 9.713 90.00 90.00 90.00
Fractional positions:
Si1 0.000 0.500 0.123
Si2 0.500 0.000 0.877
Si3 0.000 0.000 0.500
Dy1 0.000 0.500 0.761
Dy2 0.500 0.000 0.239
Ni1 0.500 0.500 0.000
Ni2 0.000 0.000 0.000
Ni3 0.500 0.000 0.643
Ni4 0.000 0.500 0.357
Mg1 0.500 0.500 0.500

Output
Crystal system: tetragonal
Spin magnetization in μB per cell: 0.00
DOS(E_F) in states/eV/f.u.: 6.31
SG: No. 115
Uncorrected formation energy in eV/atom: -0.700

No. 6
The following is a DFT calculation (PBE) of UPd3Pt3 after structural relaxation.

Lattice parameters (Å, degrees): 7.892 7.892 7.892 90.00 90.00 90.00
Site moments in Bohr magnetons follow the coordinates.
Fractional positions:
Pt1 0.816 0.391 0.492  -0.08
Pt2 0.508 0.316 0.109  -0.08
Pt3 0.316 0.109 0.508  -0.08
Pt4 0.184 0.891 0.008  -0.08
Pt5 0.992 0.684 0.609  -0.08
Pt6 0.109 0.508 0.316  -0.08
Pt7 0.684 0.609 0.992  -0.08
Pt8 0.609 0.992 0.684  -0.08
Pt9 0.492 0.816 0.391  -0.08
Pt10 0.391 0.492 0.816  -0.08
Pt11 0.008 0.184 0.891  -0.08
Pt12 0.891 0.008 0.184  -0.08
Pd1 0.846 0.346 0.154  -0.06
Pd2 0.369 0.631 0.131  -0.06
Pd3 0.304 0.804 0.696  -0.04
Pd4 0.346 0.154 0.846  -0.06
Pd5 0.131 0.369 0.631  -0.06
Pd6 0.869 0.869 0.869  -0.06
Pd7 0.154 0.846 0.346  -0.06
Pd8 0.696 0.304 0.804  -0.04
Pd9 0.631 0.131 0.369  -0.06
Pd10 0.654 0.654 0.654  -0.06
Pd11 0.804 0.696 0.304  -0.04
Pd12 0.196 0.196 0.196  -0.04
U1 0.447 0.447 0.447  1.45
U2 0.947 0.053 0.553  1.45
U3 0.553 0.947 0.053  1.45
U4 0.053 0.553 0.947  1.45

Output
Crystal system: cubic
Spin magnetization in μB per cell: 4.76
Distance to the lowest polymorph of the same formula in eV per atom: 0.141
DOS(E_F) in states/eV/f.u.: 8.34
Formation energy in eV per atom: -0.31
SG: No. 198

No. 7
The following is a DFT calculation (PBE) of K2ZnTeS after structural relaxation.

Lattice parameters (Å, degrees): 4.393 8.046 10.319 108.26 90.00 90.00
Fractional positions:
Te1 0.250 0.689 0.300
Te2 0.750 0.311 0.700
K1 0.250 0.204 0.965
K2 0.750 0.796 0.035
K3 0.250 0.182 0.387
K4 0.750 0.818 0.613
S1 0.750 0.203 0.181
S2 0.250 0.797 0.819
Zn1 0.750 0.491 0.254
Zn2 0.250 0.509 0.746

Output
Crystal system: monoclinic
Spin magnetization in μB per cell: 0.00
DOS(E_F) in states/eV/f.u.: 0.00
SG: No. 11
Uncorrected formation energy in eV/atom: -0.941

No. 8
The following is a DFT calculation (PBE) of ScOs2Br after structural relaxation.

Lattice parameters (Å, degrees): 4.498 4.498 3.240 90.00 90.00 90.00
Fractional positions:
Sc1 0.500 0.000 0.500
Br1 0.000 0.500 0.500
Os1 0.500 0.500 0.000
Os2 0.000 0.000 0.000

Output
Crystal system: tetragonal
Spin magnetization in μB per cell: 0.00
Distance to the lowest polymorph of the same formula in eV per atom: 0.770
DOS(E_F) in states/eV/f.u.: 1.06
SG: No. 123
Uncorrected formation energy in eV/atom: 0.729

No. 9
The following is a DFT calculation (PBE) of KCeIn after structural relaxation.

Lattice parameters (Å, degrees): 6.393 5.585 8.047 76.86 66.59 55.08
Site moments in Bohr magnetons follow the coordinates.
Fractional positions:
K1 0.169 0.662 0.000  0.00
K2 0.831 0.338 0.000  0.00
In1 0.627 0.000 0.745  -0.01
In2 0.373 0.000 0.255  -0.01
Ce1 0.750 0.500 0.500  1.12
Ce2 0.250 0.500 0.500  1.12

Output
Crystal system: orthorhombic
Spin magnetization in μB per cell: 2.95
DOS(E_F) in states/eV/f.u.: 8.06
Formation energy in eV per atom: 0.16
SG: No. 69

No. 10
The following is a DFT calculation (PBE) of Ba3Ag2Hg after structural relaxation.

Lattice parameters (Å, degrees): 4.123 5.890 9.314 108.43 90.00 90.00
Fractional positions:
Ba1 0.500 0.168 0.336
Ba2 0.500 0.832 0.664
Ba3 0.500 0.500 0.000
Ag1 0.000 0.335 0.670
Ag2 0.000 0.665 0.330
Hg1 0.000 0.000 0.000

Output
Crystal system: orthorhombic
Spin magnetization in μB per cell: 0.00
DOS(E_F) in states/eV/f.u.: 5.65
Formation energy in eV per atom: -0.32
SG: No. 65

No. 11
The following is a DFT calculation (PBE) of LiMg2Ni2 after structural relaxation.

Lattice parameters (Å, degrees): 7.340 7.340 2.882 90.00 90.00 90.00
Fractional positions:
Mg1 0.174 0.674 0.500
Mg2 0.326 0.174 0.500
Mg3 0.826 0.326 0.500
Mg4 0.674 0.826 0.500
Li1 0.000 0.000 0.000
Li2 0.500 0.500 0.000
Ni1 0.880 0.620 0.000
Ni2 0.380 0.880 0.000
Ni3 0.620 0.120 0.000
Ni4 0.120 0.380 0.000

Output
Crystal system: tetragonal
Spin magnetization in μB per cell: 0.00
Distance to the lowest polymorph of the same formula in eV per atom: 0.000
DOS(E_F) in states/eV/f.u.: 2.34
Formation energy in eV per atom: -0.07
SG: No. 127

No. 12
The following is a DFT calculation (PBE) of LaBeFe2 after structural relaxation.

Lattice parameters (Å, degrees): 3.076 3.079 6.572 90.00 90.00 90.00
Site moments in Bohr magnetons follow the coordinates.
Fractional positions:
Fe1 0.000 0.000 0.586  2.16
Fe2 0.000 0.000 0.914  2.16
La1 0.500 0.500 0.250  -0.18
Be1 0.500 0.500 0.750  -0.11

Output
Crystal system: tetragonal
Spin magnetization in μB per cell: 3.87
DOS(E_F) in states/eV/f.u.: 3.87
Formation energy in eV per atom: 0.27
SG: No. 123

No. 13
The following is a DFT calculation (PBE) of LiPmSmZn after structural relaxation.

Lattice parameters (Å, degrees): 3.717 3.717 7.433 90.00 90.00 90.00
Fractional positions:
Li1 0.000 0.000 0.859
Sm1 0.500 0.500 0.124
Pm1 0.500 0.500 0.590
Zn1 0.000 0.000 0.355

Output
Crystal system: tetragonal
Spin magnetization in μB per cell: 0.00
Distance to the lowest polymorph of the same formula in eV per atom: 0.000
DOS(E_F) in states/eV/f.u.: 4.68
Formation energy in eV per atom: -0.12
SG: No. 99

No. 14
The following is a DFT calculation (PBE) of BaHgP2S after structural relaxation.

Lattice parameters (Å, degrees): 5.035 5.035 5.327 90.00 90.00 90.00
Fractional positions:
S1 0.000 0.000 0.500
P1 0.500 0.000 0.000
P2 0.000 0.500 0.000
Ba1 0.500 0.500 0.500
Hg1 0.000 0.000 0.000

Output
Crystal system: tetragonal
Spin magnetization in μB per cell: 0.00
Distance to the lowest polymorph of the same formula in eV per atom: 0.000
DOS(E_F) in states/eV/f.u.: 5.57
SG: No. 123
Uncorrected formation energy in eV/atom: 0.111

No. 15
The following is a DFT calculation (PBE) of V2GaP2 after structural relaxation.

Lattice parameters (Å, degrees): 6.750 6.750 2.984 90.00 90.00 90.00
Fractional positions:
V1 0.347 0.153 0.500
V2 0.653 0.847 0.500
V3 0.847 0.347 0.500
V4 0.153 0.653 0.500
P1 0.362 0.862 0.000
P2 0.638 0.138 0.000
P3 0.862 0.638 0.000
P4 0.138 0.362 0.000
Ga1 0.000 0.000 0.000
Ga2 0.500 0.500 0.000

Output
Crystal system: tetragonal
Spin magnetization in μB per cell: 0.00
DOS(E_F) in states/eV/f.u.: 2.91
Formation energy in eV per atom: -0.33
SG: No. 127

No. 16
The following is a DFT calculation (PBE) of LiPaSn after structural relaxation.

Lattice parameters (Å, degrees): 4.199 4.199 8.177 90.00 90.00 90.00
Fractional positions:
Pa1 0.500 0.500 0.000
Pa2 0.000 0.000 0.000
Sn1 0.000 0.500 0.703
Sn2 0.500 0.000 0.297
Li1 0.500 0.000 0.651
Li2 0.000 0.500 0.349

Output
Crystal system: tetragonal
Spin magnetization in μB per cell: 0.00
Distance to the lowest polymorph of the same formula in eV per atom: 0.000
DOS(E_F) in states/eV/f.u.: 3.88
Formation energy in eV per atom: -0.08
SG: No. 129

No. 17
The following is a DFT calculation (PBE) of Ce2HoHg8 after structural relaxation.

Lattice parameters (Å, degrees): 5.122 7.316 8.384 109.55 107.79 90.00
Site moments in Bohr magnetons follow the coordinates.
Fractional positions:
Hg1 0.595 0.444 0.190  0.00
Hg2 0.664 0.889 0.328  0.00
Hg3 0.016 0.728 0.031  0.00
Hg4 0.405 0.556 0.810  0.00
Hg5 0.153 0.159 0.306  0.01
Hg6 0.847 0.841 0.694  0.01
Hg7 0.336 0.111 0.672  0.00
Hg8 0.984 0.272 0.969  0.00
Ce1 0.792 0.344 0.583  0.95
Ce2 0.208 0.656 0.417  0.95
Ho1 0.500 0.000 0.000  0.00

Output
Crystal system: monoclinic
Spin magnetization in μB per cell: 2.27
DOS(E_F) in states/eV/f.u.: 17.31
Formation energy in eV per atom: -0.28
SG: No. 12

No. 18
The following is a DFT calculation (PBE) of InHgN2O after structural relaxation.

Lattice parameters (Å, degrees): 4.342 4.342 4.468 90.00 90.00 90.00
Site moments in Bohr magnetons follow the coordinates.
Fractional positions:
N1 0.500 0.000 0.000  1.03
N2 0.000 0.500 0.000  1.03
In1 0.500 0.500 0.500  0.13
O1 0.000 0.000 0.500  0.25
Hg1 0.000 0.000 0.000  0.10

Output
Crystal system: tetragonal
Spin magnetization in μB per cell: 3.48
DOS(E_F) in states/eV/f.u.: 2.59
SG: No. 123
Uncorrected formation energy in eV/atom: 1.612

No. 19
The following is a DFT calculation (PBE) of Ho3Tm2In2 after structural relaxation.

Lattice parameters (Å, degrees): 5.336 5.337 8.498 108.31 90.00 119.99
Fractional positions:
Tm1 0.075 0.149 0.724
Tm2 0.925 0.851 0.276
Ho1 0.347 0.693 0.540
Ho2 0.500 0.000 0.000
Ho3 0.653 0.307 0.460
In1 0.216 0.432 0.148
In2 0.784 0.568 0.852

Output
Crystal system: trigonal
Spin magnetization in μB per cell: 0.00
Distance to the lowest polymorph of the same formula in eV per atom: 0.000
DOS(E_F) in states/eV/f.u.: 5.49
Formation energy in eV per atom: -0.27
SG: No. 166

No. 20
The following is a DFT calculation (PBE) of ScReBr after structural relaxation.

Lattice parameters (Å, degrees): 4.530 4.530 4.530 60.00 60.00 60.00
Site moments in Bohr magnetons follow the coordinates.
Fractional positions:
Re1 0.500 0.500 0.500  0.14
Sc1 0.750 0.750 0.750  -0.01
Br1 0.000 0.000 0.000  0.00

Output
Crystal system: cubic
Spin magnetization in μB per cell: 0.16
Distance to the lowest polymorph of the same formula in eV per atom: 0.915
DOS(E_F) in states/eV/f.u.: 2.84
SG: No. 216
Uncorrected formation energy in eV/atom: 1.091